Below is a geometry-optimized Ac8HgRu2 structure, with properties calculated at the PBE-GGA level.

a = 8.1835 Å, b = 8.1835 Å, c = 6.9676 Å
α = 92.14°, β = 92.14°, γ = 66.23°
With the nearest neighbours (Å) after each atom.
Fractional positions:
Ac (0.0795, 0.6341, 0.3249)  2 Ru 2.95-3.05
Ac (0.1219, 0.1219, 0.1860)  1 Ru 2.92
Ac (0.3659, 0.9205, 0.6751)  2 Ru 2.95-3.05
Ac (0.3704, 0.3704, 0.8820)  1 Ru 2.98, 1 Hg 3.27
Ac (0.6296, 0.6296, 0.1180)  1 Ru 2.98, 1 Hg 3.27
Ac (0.6341, 0.0795, 0.3249)  2 Ru 2.95-3.05
Ac (0.8781, 0.8781, 0.8140)  1 Ru 2.92
Ac (0.9205, 0.3659, 0.6751)  2 Ru 2.95-3.05
Hg (0.5000, 0.5000, 0.5000)  2 Ru 3.04, 6 Ac 3.27-3.36
Ru (0.2778, 0.2778, 0.4864)  6 Ac 2.92-3.05, 1 Hg 3.04
Ru (0.7222, 0.7222, 0.5136)  6 Ac 2.92-3.05, 1 Hg 3.04

Summary:
V in Å³ per atom: 38.8
Calculated formation energy in meV/atom: -137
Density of states at the Fermi level in states/eV/cell: 11.8
Density in Mg/m³: 8.6

***

Below is a geometry-optimized ErZn2Cu5 structure, with properties calculated at the PBE-GGA level.

a = 6.3102 Å, b = 6.3102 Å, c = 6.3102 Å
α = 146.56°, β = 115.43°, γ = 74.71°
With the nearest neighbours (Å) after each atom.
Fractional positions:
Er (0.0000, 0.0000, 0.0000)  10 Cu 3.04-3.37, 4 Zn 3.09
Zn (0.2490, 0.7490, 0.5000)  7 Cu 2.43-2.55
Zn (0.7510, 0.2510, 0.5000)  7 Cu 2.43-2.55
Cu (0.1845, 0.3743, 0.8102)  3 Zn 2.43-2.55, 4 Cu 2.52-2.56
Cu (0.4359, 0.6257, 0.8102)  3 Zn 2.43-2.55, 4 Cu 2.52-2.56
Cu (0.5000, 0.0000, 0.5000)  2 Zn 2.52, 8 Cu 2.55
Cu (0.5641, 0.3743, 0.1898)  3 Zn 2.43-2.55, 4 Cu 2.52-2.56
Cu (0.8155, 0.6257, 0.1898)  3 Zn 2.43-2.55, 4 Cu 2.52-2.56

Summary:
V in Å³ per atom: 15.3
Calculated formation energy in meV/atom: -92
Density of states at the Fermi level in states/eV/cell: 2.9
Density in Mg/m³: 8.3